First-principles (GGA+U) data for an optimized crystal structure of Li3Fe5OF11, as listed in Alexandria.

Lattice parameters (Å, degrees): 6.131 5.841 8.938 97.58 88.99 120.87
Element x y z (fractional)
Fe: 0.945 0.569 0.302
Fe: 0.473 0.113 0.496
Fe: 0.455 0.533 0.178
Fe: 0.982 0.715 0.630
Fe: 0.690 0.606 0.895
F: 0.550 0.328 0.306
F: 0.551 0.845 0.336
F: 0.974 0.531 0.843
F: 0.851 0.717 0.124
F: 0.941 0.966 0.816
F: 0.593 0.470 0.658
F: 0.892 0.332 0.489
F: 0.406 0.256 0.986
F: 0.428 0.703 0.980
F: 0.054 0.327 0.182
F: 0.372 0.908 0.687
Li: 0.930 0.066 0.358
Li: 0.310 0.902 0.894
Li: 0.088 0.314 0.921
O: 0.093 0.899 0.444

Computed properties:
SG: P1, No. 1
total magnetic moment: 20.0 μB/cell
N(E_F): 0.0 states/eV/f.u.
crystal system: triclinic
energy above the lowest structure with this stoichiometry: 54 meV per atom